# Zr5Al2Si PBE relaxed
data_Zr5Al2Si
_chemical_formula_sum 'Zr5 Al2 Si1'
_space_group_name_H-M_alt 'P 1'
_space_group_IT_number 1
_cell_length_a 8.198
_cell_length_b 8.198
_cell_length_c 8.198
_cell_angle_alpha 157.68
_cell_angle_beta 126.91
_cell_angle_gamma 58.29
loop_
_space_group_symop_operation_xyz
'x,y,z'
loop_
_atom_site_label
_atom_site_fract_x
_atom_site_fract_y
_atom_site_fract_z
Zr1 0.000 0.000 0.000
Zr2 0.163 0.373 0.790
Zr3 0.418 0.627 0.790
Zr4 0.582 0.373 0.210
Zr5 0.837 0.627 0.210
Al1 0.205 0.205 0.000
Al2 0.795 0.795 0.000
Si1 0.500 0.000 0.500
# magnetic moment: 0.0 μB/f.u.
# excess energy over the best structure of this formula in the dataset: 139 meV/atom
# crystal system: orthorhombic
# formation energy from raw total energies: -0.272 eV per atom